[1]
Here is a geometry-optimized Pm2Dy8Th structure from Alexandria via LeMat-Bulk. Energies are from PBE.

Geometry as POSCAR:
```
Pm2Dy8Th
1.0
9.092 -2.526 0.000
9.092 2.526 0.000
-2.084 0.000 7.693
Pm Dy Th
2 8 1
Cartesian
3.862 0.000 1.048 Pm
12.237 0.000 6.644 Pm
0.319 0.000 1.785 Dy
1.034 0.000 5.210 Dy
4.587 0.000 4.560 Dy
7.363 0.000 0.374 Dy
8.737 0.000 7.318 Dy
11.512 0.000 3.133 Dy
15.065 0.000 2.482 Dy
15.780 0.000 5.907 Dy
8.050 0.000 3.846 Th
```

Results
* energy of formation from the pure elements: 26 meV per atom
* energy above the lowest structure with this stoichiometry: 0.0 meV/atom
* crystal system: monoclinic
* VASP energy: -53.456 eV per formula unit
* space-group type: C2/m (12)

***

[2]
Here is a geometry-optimized Pm4Dy3Th structure from Alexandria via LeMat-Bulk. Energies are from PBE.

Geometry as POSCAR:
```
Pm4Dy3Th
1.0
11.787 -1.736 0.000
11.787 1.736 0.000
-1.963 0.000 6.557
Pm Dy Th
4 3 1
Cartesian
2.164 0.000 2.375 Pm
4.592 0.000 5.006 Pm
17.018 0.000 1.550 Pm
19.447 0.000 4.182 Pm
-0.982 0.000 3.278 Dy
1.150 0.000 5.793 Dy
20.460 0.000 0.763 Dy
11.787 0.000 0.000 Th
```

Results
* energy of formation from the pure elements: 170 meV per atom
* energy above the lowest structure with this stoichiometry: 126.0 meV/atom
* crystal system: monoclinic
* VASP energy: -38.872 eV per formula unit
* space-group type: C2/m (12)

***

[3]
Here is a geometry-optimized Pm3Dy5Th2 structure from Alexandria via LeMat-Bulk. Energies are from PBE.

Geometry as POSCAR:
```
Pm3Dy5Th2
1.0
5.401 -8.651 0.000
5.401 8.651 0.000
-5.391 0.000 7.138
Pm Dy Th
6 10 4
Cartesian
1.356 2.132 0.268 Pm
1.357 4.813 5.354 Pm
-1.339 -2.132 3.837 Pm
6.750 2.132 3.301 Pm
4.053 -4.813 1.785 Pm
4.054 -2.132 6.870 Pm
1.357 8.116 5.354 Dy
-1.356 2.019 5.362 Dy
4.053 3.815 1.785 Dy
1.339 -2.019 1.793 Dy
4.053 0.564 1.785 Dy
1.357 -0.564 5.354 Dy
4.071 2.019 5.345 Dy
1.357 -3.815 5.354 Dy
6.767 -2.019 1.776 Dy
4.053 -8.116 1.785 Dy
1.357 2.110 3.396 Th
-1.338 -2.110 6.965 Th
6.749 2.110 0.173 Th
4.053 -2.110 3.742 Th
```

Results
* energy of formation from the pure elements: 209 meV per atom
* crystal system: monoclinic
* VASP energy: -50.014 eV per formula unit
* space-group type: C2/c (15)

***

[4]
Here is a geometry-optimized Pm3Dy2Th3 structure from Alexandria via LeMat-Bulk. Energies are from PBE.

Geometry as POSCAR:
```
Pm3Dy2Th3
1.0
5.058 0.000 0.000
0.000 5.111 0.000
0.000 0.000 10.155
Pm Dy Th
3 2 3
Cartesian
0.000 0.000 0.000 Pm
0.000 0.000 5.077 Pm
2.529 2.556 0.000 Pm
2.529 0.000 2.575 Dy
2.529 0.000 7.580 Dy
0.000 2.556 2.571 Th
0.000 2.556 7.584 Th
2.529 2.556 5.077 Th
```

Results
* energy of formation from the pure elements: 56 meV per atom
* crystal system: orthorhombic
* VASP energy: -45.271 eV per formula unit
* space-group type: Pmmm (47)

***

| no. | N(E_F) (states/eV/cell) |
| --- | --- |
| 1 | 16.24 |
| 2 | 13.84 |
| 3 | 28.29 |
| 4 | 11.24 |